Below is crystalline Sr2GeSe4 at its relaxed geometry, with properties calculated at the PBE level.

a = 5.059 Å, b = 5.059 Å, c = 8.588 Å
α = 72.87°, β = 72.87°, γ = 90.00°
Fractional coordinates of all 7 atoms:
Sr  0.363  0.363  0.274
Sr  0.637  0.637  0.726
Ge  0.000  0.000  0.000
Se  0.168  0.168  0.663
Se  0.832  0.832  0.337
Se  0.000  0.500  0.000
Se  0.500  0.000  0.000

Computed properties:
- formation energy (no corrections) (kJ/mol of atoms) = -99.8

=====

Below is crystalline SrGeSe3 at its relaxed geometry, with properties calculated at the PBE level.

a = 6.463 Å, b = 9.405 Å, c = 12.086 Å
α = 129.43°, β = 90.00°, γ = 90.00°
Fractional coordinates of all 20 atoms:
Sr  0.268  0.558  0.660
Sr  0.732  0.442  0.340
Sr  0.768  0.442  0.840
Sr  0.232  0.558  0.160
Ge  0.809  0.975  0.403
Ge  0.191  0.025  0.597
Ge  0.309  0.025  0.097
Ge  0.691  0.975  0.903
Se  0.819  0.993  0.614
Se  0.181  0.007  0.386
Se  0.319  0.007  0.886
Se  0.681  0.993  0.114
Se  0.332  0.733  0.502
Se  0.668  0.267  0.498
Se  0.832  0.267  0.998
Se  0.168  0.733  0.002
Se  0.722  0.659  0.204
Se  0.278  0.341  0.796
Se  0.222  0.341  0.296
Se  0.778  0.659  0.704

Computed properties:
- formation energy (no corrections) (kJ/mol of atoms) = -88.8
- polymorph energy (0 for the lowest one) (kJ/mol of formula units) = 2

=====

Below is crystalline Sr3GeSe at its relaxed geometry, with properties calculated at the PBE level.

a = 5.796 Å, b = 5.796 Å, c = 5.796 Å
α = 90.00°, β = 90.00°, γ = 90.00°
Fractional coordinates of all 5 atoms:
Sr  0.000  0.500  0.000
Sr  0.000  0.000  0.500
Sr  0.500  0.000  0.000
Ge  0.500  0.500  0.500
Se  0.000  0.000  0.000

Computed properties:
- formation energy (no corrections) (kJ/mol of atoms) = -71.4
- polymorph energy (0 for the lowest one) (kJ/mol of formula units) = 0

=====

The lowest formation energy (no corrections) belongs to which entry? Sr2GeSe4

=====

What is the formation energy (no corrections) in the first record? -99.8 kJ/mol of atoms